(1)
{"formula": "TbScGa2", "functional": "GGA-PBE", "state": "optimized geometry", "lattice": [[-4.0332, -1.6712, -2.2620], [-1.9781, -4.2928, 1.3547], [-4.2998, -0.0824, 2.3836]], "species": ["Tb", "Sc", "Ga", "Ga"], "fractional_positions": [[0.0000, 0.0000, 0.0000], [0.5000, 0.5000, 0.5000], [0.7500, 0.7500, 0.7500], [0.2500, 0.2500, 0.2500]], "rho_g_cm3": 6.8, "de_polymorph_mev_per_atom": 10, "m_tot_mub_per_cell": 0.0, "space_group": "Fm-3m (225)", "delta_e_f_ev_per_fu": -2.32}

***

(2)
{"formula": "TbScGa3", "functional": "GGA-PBE", "state": "optimized geometry", "lattice": [[-1.0523, -2.7036, 2.7745], [-0.3095, -2.8879, -2.9315], [12.5978, -1.6350, 0.2807]], "species": ["Ga", "Ga", "Ga", "Ga", "Ga", "Ga", "Tb", "Tb", "Sc", "Sc"], "fractional_positions": [[0.5252, 0.7500, 0.0504], [0.3184, 0.7500, 0.6368], [0.3766, 0.2500, 0.7532], [0.6234, 0.7500, 0.2468], [0.4748, 0.2500, 0.9496], [0.6816, 0.2500, 0.3632], [0.9249, 0.7500, 0.8498], [0.0751, 0.2500, 0.1502], [0.7945, 0.2500, 0.5890], [0.2055, 0.7500, 0.4110]], "rho_g_cm3": 6.6, "de_polymorph_mev_per_atom": 0, "m_tot_mub_per_cell": 0.0, "space_group": "Cmcm (63)", "delta_e_f_ev_per_fu": -3.13}

***

(3)
{"formula": "Tb3Sc4Ga4", "functional": "GGA-PBE", "state": "optimized geometry", "lattice": [[4.6683, 0.0000, 0.0000], [0.0000, 7.1256, 0.0000], [-2.3341, -3.5628, 7.7042]], "species": ["Sc", "Sc", "Sc", "Sc", "Ga", "Ga", "Ga", "Ga", "Tb", "Tb", "Tb"], "fractional_positions": [[0.6748, 0.4640, 0.3497], [0.6748, 0.8857, 0.3497], [0.3252, 0.5360, 0.6503], [0.3252, 0.1143, 0.6503], [0.8004, 0.3004, 0.6008], [0.5000, 0.8102, 0.0000], [0.5000, 0.1898, 0.0000], [0.1996, 0.6996, 0.3992], [0.0000, 0.5000, 0.0000], [0.1114, 0.1114, 0.2228], [0.8886, 0.8886, 0.7772]], "rho_g_cm3": 6.1, "m_tot_mub_per_cell": 0.0, "space_group": "Immm (71)", "delta_e_f_ev_per_fu": -4.85}

***

(4)
{"formula": "TbSc4Ga5", "functional": "GGA-PBE", "state": "optimized geometry", "lattice": [[3.4109, 0.0000, 0.0000], [0.0000, 3.4109, 0.0000], [0.0000, 0.0000, 16.9528]], "species": ["Ga", "Ga", "Ga", "Ga", "Ga", "Sc", "Sc", "Sc", "Sc", "Tb"], "fractional_positions": [[0.5000, 0.5000, 0.6934], [0.5000, 0.5000, 0.1138], [0.5000, 0.5000, 0.8862], [0.5000, 0.5000, 0.3066], [0.5000, 0.5000, 0.5000], [0.0000, 0.0000, 0.7904], [0.0000, 0.0000, 0.5967], [0.0000, 0.0000, 0.4033], [0.0000, 0.0000, 0.2096], [0.0000, 0.0000, 0.0000]], "rho_g_cm3": 5.8, "m_tot_mub_per_cell": 0.0, "space_group": "P4/mmm (123)", "delta_e_f_ev_per_fu": -5.89}